(1)
## ZrScIrS2 (PBE)

Data for an optimized crystal structure of ZrScIrS2.

## Properties
energy relative to the elements, uncorrected = -0.05 eV per atom

a b c (Å): 4.7015 4.7015 4.8020
angles (deg): 90.00 90.00 90.00
Atoms (fractional coordinates):
Zr 0.0000 0.0000 0.0000
Sc 0.5000 0.5000 0.5000
Ir 0.5000 0.5000 0.0000
S 0.0000 0.5000 0.5000
S 0.5000 0.0000 0.5000


(2)
## Ir2Se2S (PBE)

Data for an optimized crystal structure of Ir2Se2S.

## Properties
energy relative to the elements, uncorrected = 0.53 eV per atom
offset from the most stable computed form = 0.00 kcal/mol of atoms

a b c (Å): 7.2371 7.2371 3.2560
angles (deg): 90.00 90.00 90.00
Atoms (fractional coordinates):
Ir 0.1357 0.3643 0.0000
Ir 0.3643 0.8643 0.0000
Ir 0.6357 0.1357 0.0000
Ir 0.8643 0.6357 0.0000
Se 0.1523 0.6523 0.5000
Se 0.3477 0.1523 0.5000
Se 0.6523 0.8477 0.5000
Se 0.8477 0.3477 0.5000
S 0.0000 0.0000 0.0000
S 0.5000 0.5000 0.0000


(3)
## Ir2SeS (PBE)

Data for an optimized crystal structure of Ir2SeS.

## Properties
energy relative to the elements, uncorrected = 0.61 eV per atom
offset from the most stable computed form = 11.17 kcal/mol of atoms

a b c (Å): 6.2410 6.2410 6.2410
angles (deg): 90.00 90.00 90.00
Atoms (fractional coordinates):
Ir 0.2500 0.2500 0.2500
Ir 0.2500 0.2500 0.7500
Ir 0.2500 0.7500 0.2500
Ir 0.2500 0.7500 0.7500
Ir 0.7500 0.2500 0.2500
Ir 0.7500 0.2500 0.7500
Ir 0.7500 0.7500 0.2500
Ir 0.7500 0.7500 0.7500
Se 0.0000 0.0000 0.0000
Se 0.0000 0.5000 0.5000
Se 0.5000 0.0000 0.5000
Se 0.5000 0.5000 0.0000
S 0.0000 0.0000 0.5000
S 0.0000 0.5000 0.0000
S 0.5000 0.0000 0.0000
S 0.5000 0.5000 0.5000


(4)
## Ir2Se2S (PBE)

Data for an optimized crystal structure of Ir2Se2S.

## Properties
energy relative to the elements, uncorrected = 0.57 eV per atom
offset from the most stable computed form = 0.83 kcal/mol of atoms

a b c (Å): 4.1708 4.1708 10.7780
angles (deg): 90.00 90.00 90.00
Atoms (fractional coordinates):
Ir 0.0000 0.0000 0.1190
Ir 0.0000 0.0000 0.8810
Ir 0.5000 0.5000 0.3810
Ir 0.5000 0.5000 0.6190
Se 0.0000 0.5000 0.2500
Se 0.0000 0.5000 0.7500
Se 0.5000 0.0000 0.2500
Se 0.5000 0.0000 0.7500
S 0.0000 0.0000 0.5000
S 0.5000 0.5000 0.0000


(5)
## Ir2SeS (PBE)

Data for an optimized crystal structure of Ir2SeS.

## Properties
energy relative to the elements, uncorrected = 0.13 eV per atom
offset from the most stable computed form = 0.00 kcal/mol of atoms

a b c (Å): 4.6885 4.6885 13.5593
angles (deg): 90.00 90.00 90.00
Atoms (fractional coordinates):
Ir 0.1929 0.2500 0.1250
Ir 0.2500 0.6929 0.3750
Ir 0.2500 0.8071 0.8750
Ir 0.3071 0.2500 0.6250
Ir 0.6929 0.7500 0.6250
Ir 0.7500 0.1929 0.8750
Ir 0.7500 0.3071 0.3750
Ir 0.8071 0.7500 0.1250
Se 0.0000 0.0000 0.5000
Se 0.0000 0.5000 0.7500
Se 0.5000 0.0000 0.2500
Se 0.5000 0.5000 0.0000
S 0.0000 0.0000 0.0000
S 0.0000 0.5000 0.2500
S 0.5000 0.0000 0.7500
S 0.5000 0.5000 0.5000


(6)
## IrSeS2 (PBE)

Data for an optimized crystal structure of IrSeS2.

## Properties
energy relative to the elements, uncorrected = 0.64 eV per atom

a b c (Å): 3.2387 3.2387 24.1058
angles (deg): 90.00 90.00 120.00
Atoms (fractional coordinates):
Ir 0.0000 0.0000 0.0000
Ir 0.3333 0.6667 0.6667
Ir 0.6667 0.3333 0.3333
Se 0.0000 0.0000 0.5000
Se 0.3333 0.6667 0.1667
Se 0.6667 0.3333 0.8333
S 0.0000 0.0000 0.0921
S 0.0000 0.0000 0.9079
S 0.3333 0.6667 0.5746
S 0.3333 0.6667 0.7587
S 0.6667 0.3333 0.2413
S 0.6667 0.3333 0.4254


(7)
## IrSeS2 (PBE)

Data for an optimized crystal structure of IrSeS2.

## Properties
energy relative to the elements, uncorrected = -0.11 eV per atom

a b c (Å): 3.5886 3.5886 21.9052
angles (deg): 90.00 90.00 120.00
Atoms (fractional coordinates):
Ir 0.0000 0.0000 0.0000
Ir 0.3333 0.6667 0.6667
Ir 0.6667 0.3333 0.3333
Se 0.0000 0.0000 0.5000
Se 0.3333 0.6667 0.1667
Se 0.6667 0.3333 0.8333
S 0.0000 0.0000 0.3869
S 0.0000 0.0000 0.6131
S 0.3333 0.6667 0.0535
S 0.3333 0.6667 0.2798
S 0.6667 0.3333 0.7202
S 0.6667 0.3333 0.9465


(8)
## IrSeS2 (PBE)

Data for an optimized crystal structure of IrSeS2.

## Properties
energy relative to the elements, uncorrected = 0.10 eV per atom

a b c (Å): 3.4654 13.4407 8.1899
angles (deg): 90.00 90.00 90.00
Atoms (fractional coordinates):
Ir 0.0000 0.2400 0.2500
Ir 0.0000 0.7600 0.7500
Ir 0.5000 0.2600 0.7500
Ir 0.5000 0.7400 0.2500
Se 0.0000 0.3854 0.7500
Se 0.0000 0.6146 0.2500
Se 0.5000 0.1146 0.2500
Se 0.5000 0.8854 0.7500
S 0.0000 0.1578 0.6223
S 0.0000 0.1578 0.8777
S 0.0000 0.8422 0.1223
S 0.0000 0.8422 0.3777
S 0.5000 0.3422 0.1223
S 0.5000 0.3422 0.3777
S 0.5000 0.6578 0.6223
S 0.5000 0.6578 0.8777


(9)
## Ir3SeS (PBE)

Data for an optimized crystal structure of Ir3SeS.

## Properties
energy relative to the elements, uncorrected = 1.05 eV per atom
offset from the most stable computed form = 0.00 kcal/mol of atoms

a b c (Å): 4.4504 4.4504 4.4504
angles (deg): 90.00 90.00 90.00
Atoms (fractional coordinates):
Ir 0.0000 0.0000 0.5000
Ir 0.0000 0.5000 0.0000
Ir 0.5000 0.0000 0.0000
Se 0.5000 0.5000 0.5000
S 0.0000 0.0000 0.0000


(10)
## IrSeS2 (PBE)

Data for an optimized crystal structure of IrSeS2.

## Properties
energy relative to the elements, uncorrected = 0.25 eV per atom

a b c (Å): 6.3911 6.3911 7.8578
angles (deg): 90.00 90.00 90.00
Atoms (fractional coordinates):
Ir 0.0000 0.0000 0.0000
Ir 0.0000 0.5000 0.2500
Ir 0.5000 0.0000 0.7500
Ir 0.5000 0.5000 0.5000
Se 0.0000 0.0000 0.5000
Se 0.0000 0.5000 0.7500
Se 0.5000 0.0000 0.2500
Se 0.5000 0.5000 0.0000
S 0.1984 0.2500 0.1250
S 0.2500 0.6984 0.3750
S 0.2500 0.8016 0.8750
S 0.3016 0.2500 0.6250
S 0.6984 0.7500 0.6250
S 0.7500 0.1984 0.8750
S 0.7500 0.3016 0.3750
S 0.8016 0.7500 0.1250


(11)
## IrSeS (PBE)

Data for an optimized crystal structure of IrSeS.

## Properties
energy relative to the elements, uncorrected = -0.26 eV per atom
offset from the most stable computed form = 0.22 kcal/mol of atoms

a b c (Å): 3.6315 3.6315 5.1414
angles (deg): 90.00 90.00 120.00
Atoms (fractional coordinates):
Ir 0.0000 0.0000 0.0000
Se 0.3333 0.6667 0.7295
S 0.6667 0.3333 0.2169


(12)
## IrSeS (PBE)

Data for an optimized crystal structure of IrSeS.

## Properties
energy relative to the elements, uncorrected = -0.27 eV per atom
offset from the most stable computed form = 0.00 kcal/mol of atoms

a b c (Å): 6.2852 5.8535 6.2596
angles (deg): 90.00 106.51 90.00
Atoms (fractional coordinates):
Ir 0.2375 0.0111 0.2473
Ir 0.2375 0.4889 0.7473
Ir 0.7625 0.5111 0.2527
Ir 0.7625 0.9889 0.7527
Se 0.3622 0.6305 0.1413
Se 0.3622 0.8695 0.6413
Se 0.6378 0.1305 0.3587
Se 0.6378 0.3695 0.8587
S 0.1302 0.1336 0.8699
S 0.1302 0.3664 0.3699
S 0.8698 0.6336 0.6301
S 0.8698 0.8664 0.1301